MgScRe | PBE | optimized geometry

Unit cell a=5.0744 b=5.0744 c=5.0744 alpha=147.93 beta=128.58 gamma=61.90
Atoms (fractional coordinates):
Mg  0.9949  0.9949  0.0000
Re  0.3319  0.3319  0.0000
Sc  0.6732  0.6732  0.0000

Summary:
The value obtained for the calculated density is 7898 kg/m³. The value obtained for the energy above the most stable polymorph in this dataset is 0.006 eV/atom. The formation enthalpy at 0 K comes out at 0.445 eV per formula unit. As for the space-group type: No. 44. Its energy is -19.93 eV per formula unit. The calculation puts the total magnetization at 0.000 μB/f.u. The value obtained for the calculated volume is 17.90 Å³ per atom.